Material: CsLaPbO3
Method: DFT, PBE-GGA
State: relaxed

Computed properties:
Raw formation energy   -2.110 eV/atom
Calculated density   5882 kg/m³

Structure (POSCAR):
```
CsLaPbO3
1.0
-2.982 -2.260 0.151
3.997 -4.724 8.245
-3.630 5.090 4.508
Cs La Pb O
2 2 2 6
Direct
0.750 0.711 0.638 Cs
0.250 0.289 0.362 Cs
0.250 0.634 0.103 La
0.750 0.366 0.897 La
0.250 0.082 0.777 Pb
0.750 0.918 0.223 Pb
0.250 0.810 0.335 O
0.750 0.773 0.013 O
0.750 0.493 0.163 O
0.750 0.190 0.665 O
0.250 0.507 0.837 O
0.250 0.227 0.987 O
```